Entry from the Alexandria database: crystalline CeGe5Os3 at its relaxed geometry (GGA-PBE).

The structure belongs to space group C2/m (No. 12); the cell edges are 11.746, 8.473 and 8.867 Å and the angles 90.00°, 119.99° and 90.00°. The inequivalent atoms are Ce at (0.135, 0.000, 0.335), Ge at (0.000, 0.316, 0.000), Ge at (0.080, 0.500, 0.361), Ge at (0.145, 0.219, 0.681), Ge at (0.220, 0.000, 0.011), Os at (0.000, 0.000, 0.000), Os at (0.000, 0.000, 0.500), Os at (0.134, 0.500, 0.674) and Os at (0.200, 0.500, 0.208).

The value obtained for the raw total energy is -250.56 eV for the cell shown. The formation enthalpy at 0 K comes out at 0.008 eV per atom.

---

Entry from the Alexandria database: crystalline Ce3GeOs at its relaxed geometry (GGA-PBE).

The structure belongs to space group P-1 (No. 2); the cell edges are 5.324, 6.379 and 8.752 Å and the angles 110.77°, 90.07° and 114.55°. The inequivalent atoms are Ce at (0.125, 0.248, 0.420), Ce at (0.361, 0.721, 0.865), Ce at (0.371, 0.742, 0.206), Ge at (0.096, 0.192, 0.944) and Os at (0.392, 0.785, 0.551).

The value obtained for the raw total energy is -70.72 eV for the cell shown. The formation enthalpy at 0 K comes out at -0.342 eV per atom.

---

Entry from the Alexandria database: crystalline Ce5GeOs2 at its relaxed geometry (GGA-PBE).

The structure belongs to space group I4/mcm (No. 140); the cell edges are 7.787, 7.787 and 12.702 Å and the angles 90.00°, 90.00° and 90.00°. The inequivalent atoms are Ce at (0.000, 0.000, 0.000), Ce at (0.164, 0.336, 0.143), Ge at (0.000, 0.000, 0.250) and Os at (0.136, 0.364, 0.500).

The value obtained for the raw total energy is -238.82 eV for the cell shown. The formation enthalpy at 0 K comes out at -0.370 eV per atom.

---

Entry from the Alexandria database: crystalline Ce4Ge3Os at its relaxed geometry (GGA-PBE).

The structure belongs to space group Pmm2 (No. 25); the cell edges are 4.201, 4.247 and 10.658 Å and the angles 90.00°, 90.00° and 90.00°. The inequivalent atoms are Ce at (0.000, 0.000, 0.000), Ce at (0.000, 0.500, 0.472), Ce at (0.500, 0.000, 0.706), Ce at (0.500, 0.500, 0.209), Ge at (0.000, 0.500, 0.758), Ge at (0.500, 0.000, 0.418), Ge at (0.500, 0.500, 0.928) and Os at (0.000, 0.000, 0.262).

The value obtained for the raw total energy is -53.43 eV for the cell shown. The formation enthalpy at 0 K comes out at -0.577 eV per atom.

---

Entry from the Alexandria database: crystalline Ce8Ge2Os3 at its relaxed geometry (GGA-PBE).

The structure belongs to space group C2/m (No. 12); the cell edges are 15.282, 7.695 and 6.813 Å and the angles 90.00°, 111.14° and 90.00°. The inequivalent atoms are Ce at (0.101, 0.000, 0.239), Ce at (0.105, 0.259, 0.762), Ce at (0.154, 0.500, 0.275), Ge at (0.240, 0.000, 0.035), Os at (0.000, 0.000, 0.500) and Os at (0.000, 0.305, 0.000).

The value obtained for the raw total energy is -185.38 eV for the cell shown. The formation enthalpy at 0 K comes out at -0.176 eV per atom.

---

Entry from the Alexandria database: crystalline Ce6GeOs2 at its relaxed geometry (GGA-PBE).

The structure belongs to space group C2/m (No. 12); the cell edges are 10.124, 4.827 and 8.819 Å and the angles 90.00°, 95.29° and 90.00°. The inequivalent atoms are Ce at (0.056, 0.000, 0.351), Ce at (0.109, 0.500, 0.669), Ce at (0.195, 0.500, 0.092), Ge at (0.000, 0.000, 0.000) and Os at (0.230, 0.500, 0.383).

The value obtained for the raw total energy is -130.79 eV for the cell shown. The formation enthalpy at 0 K comes out at -0.302 eV per atom.